# 1
Compound: YSbW2
Source: Alexandria
Functional: PBE-GGA
Structure: relaxed

Unit cell a=3.2913 b=3.2913 c=7.7939 alpha=90.00 beta=90.00 gamma=90.00
With the nearest neighbours (Å) after each atom.
Space group P4mm (No. 99)
Inequivalent atoms, fractional coordinates:
1 Y 0.0000 0.0000 0.0000 [1 per cell]  5 W 3.12-3.45, 4 Y 3.29, 4 Sb 3.47
2 Sb 0.5000 0.5000 0.3299 [1 per cell]  5 W 2.93-3.15
3 W 0.0000 0.0000 0.5579 [1 per cell]  4 W 2.70, 4 Sb 2.93
4 W 0.5000 0.5000 0.7339 [1 per cell]  4 W 2.70

Properties
DFT total energy   -8.989 eV/atom
Magnetization   0.0 Bohr magnetons per cell
Formation energy from raw total energies   135 meV/atom

---

# 2
Compound: Dy6Cd2N
Source: Alexandria
Functional: PBE-GGA
Structure: relaxed

Unit cell a=11.8775 b=6.9062 c=6.9055 alpha=90.00 beta=125.54 gamma=90.00
With the nearest neighbours (Å) after each atom.
Space group C2/m (No. 12)
Inequivalent atoms, fractional coordinates:
1 Dy 0.0325 0.2448 0.2886 [8 per cell]  1 N 2.41
2 Dy 0.2434 0.0000 0.8071 [4 per cell]  1 N 2.39
3 Cd 0.2492 0.5000 0.7461 [4 per cell]  5 Dy 3.03-3.22
4 N 0.0000 0.0000 0.5000 [2 per cell]  6 Dy 2.39-2.41

Properties
DFT total energy   -4.697 eV/atom
Magnetization   0.0 Bohr magnetons per cell
Formation energy from raw total energies   -501 meV/atom